Na2CaAg2 | SCAN | single point on PBEsol structure

Cell: 7.6410 7.6410 7.6410 Å, 147.86 147.86 46.09°
Fractional coordinates of all 5 atoms:
1 Na 0.2500 0.7500 0.5000
2 Na 0.7500 0.2500 0.5000
3 Ca 0.0000 0.0000 0.0000
4 Ag 0.4056 0.4056 0.0000
5 Ag 0.5944 0.5944 0.0000

Summary:
- D(E_F) (states/eV/cell) = 2.06
- E_form (kJ/mol of formula units) = -35.9

=====

KSr2Br | SCAN | single point on PBEsol structure

Cell: 5.3014 5.3014 6.6333 Å, 90.00 90.00 90.00°
Fractional coordinates of all 4 atoms:
1 K 0.0000 0.0000 0.0000
2 Sr 0.0000 0.5000 0.5000
3 Sr 0.5000 0.0000 0.5000
4 Br 0.5000 0.5000 0.0000

Summary:
- D(E_F) (states/eV/cell) = 3.51
- DFT total energy (eV/cell) = -73.8

=====

Sr2CdTe | SCAN | single point on PBEsol structure

Cell: 5.6712 5.6712 5.6712 Å, 60.00 60.00 60.00°
Fractional coordinates of all 4 atoms:
1 Sr 0.2500 0.2500 0.2500
2 Sr 0.7500 0.7500 0.7500
3 Cd 0.0000 0.0000 0.0000
4 Te 0.5000 0.5000 0.5000

Summary:
- distance to the lowest polymorph of the same formula (eV/atom) = 0.225
- D(E_F) (states/eV/cell) = 3.61

=====

CaFe2PPd | SCAN | single point on PBEsol structure

Cell: 4.0870 4.0870 5.1752 Å, 90.00 90.00 90.00°
Fractional coordinates of all 5 atoms:
1 Ca 0.0000 0.0000 0.0000
2 Fe 0.0000 0.5000 0.5000
3 Fe 0.5000 0.0000 0.5000
4 P 0.0000 0.0000 0.5000
5 Pd 0.5000 0.5000 0.0000

Summary:
- D(E_F) (states/eV/cell) = 4.06
- E_form (kJ/mol of formula units) = 106.0

=====

NaCu2Au2 | SCAN | single point on PBEsol structure

Cell: 6.8183 6.8183 6.8183 Å, 148.70 148.70 44.85°
Fractional coordinates of all 5 atoms:
1 Na 0.0000 0.0000 0.0000
2 Cu 0.2500 0.7500 0.5000
3 Cu 0.7500 0.2500 0.5000
4 Au 0.3930 0.3930 0.0000
5 Au 0.6070 0.6070 0.0000

Summary:
- distance to the lowest polymorph of the same formula (eV/atom) = 0.099
- D(E_F) (states/eV/cell) = 1.00
- E_form (kJ/mol of formula units) = -48.8

=====

Li4MnTe3O12 | SCAN | single point on PBEsol structure

Cell: 4.9345 8.7139 5.0849 Å, 90.00 93.69 90.00°
Fractional coordinates of all 20 atoms:
1 Li 0.0000 0.0000 0.0000
2 Li 0.0000 0.3065 0.5000
3 Li 0.5000 0.4253 0.5000
4 Li 0.5000 0.8223 0.0000
5 Mn 0.5000 0.2323 0.0000
6 Te 0.0000 0.5226 0.0000
7 Te 0.0000 0.7298 0.5000
8 Te 0.5000 0.0557 0.5000
9 O 0.2057 0.5467 0.3364
10 O 0.2198 0.6859 0.8546
11 O 0.2436 0.3772 0.8470
12 O 0.2800 0.9067 0.3111
13 O 0.2874 0.0783 0.8083
14 O 0.3038 0.2239 0.3068
15 O 0.6962 0.2239 0.6932
16 O 0.7126 0.0783 0.1917
17 O 0.7200 0.9067 0.6889
18 O 0.7564 0.3772 0.1530
19 O 0.7802 0.6859 0.1454
20 O 0.7943 0.5467 0.6636

Summary:
- DFT total energy (eV/cell) = -247.3

=====

IrN2Cl | SCAN | single point on PBEsol structure

Cell: 6.6371 6.6371 6.6371 Å, 25.80 25.80 25.80°
Fractional coordinates of all 4 atoms:
1 Ir 0.0000 0.0000 0.0000
2 N 0.0954 0.0954 0.0954
3 N 0.9046 0.9046 0.9046
4 Cl 0.5000 0.5000 0.5000

Summary:
- distance to the lowest polymorph of the same formula (eV/atom) = 0.000
- D(E_F) (states/eV/cell) = 2.37

=====

LaSc2Ru | SCAN | single point on PBEsol structure

Cell: 6.1092 6.1092 6.1092 Å, 148.27 130.01 60.43°
Fractional coordinates of all 4 atoms:
1 La 0.0000 0.0000 0.0000
2 Sc 0.3014 0.8014 0.5000
3 Sc 0.6986 0.1986 0.5000
4 Ru 0.5000 0.5000 0.0000

Summary:
- distance to the lowest polymorph of the same formula (eV/atom) = 0.162
- D(E_F) (states/eV/cell) = 3.73
- E_form (kJ/mol of formula units) = -91.4